Entry from Alexandria via LeMat-Bulk: an optimized crystal structure of CsMnSe2 (PBEsol).

```
data_CsMnSe2
_space_group_name_H-M_alt 'I -4 2 d'
_space_group_IT_number 122
_space_group_name_Hall 'I -4 2bw'
_cell_length_a 7.6444
_cell_length_b 7.6444
_cell_length_c 8.4463
_cell_angle_alpha 90.00
_cell_angle_beta 90.00
_cell_angle_gamma 90.00
loop_
_atom_site_label
_atom_site_fract_x
_atom_site_fract_y
_atom_site_fract_z
_atom_site_occupancy
Cs1 0.0000 0.0000 0.0000 1
Mn1 0.0000 0.0000 0.5000 1
Se1 0.1256 0.7500 0.6250 1
```

Spin magnetization: 1.00 μB/atom
Calculated density: 4.65 g/cm³
E_form (uncorrected): -63 kJ/mol of atoms
Energy: -5.25 eV per atom